Entry 1:
Compound: Ca2Dy3Te6
Source: Alexandria via LeMat-Bulk
Functional: PBE
Structure: optimized geometry

```
Ca2Dy3Te6
1.0
3.7879 -6.5587 0.0000
3.7879 6.5587 0.0000
-2.5348 0.0000 7.3444
Ca Dy Te
2 3 6
Direct
0.1662 0.8338 0.0000
0.8338 0.1662 0.0000
0.0000 0.0000 0.5000
0.3322 0.6678 0.5000
0.6678 0.3322 0.5000
0.0851 0.4151 0.7447
0.2552 0.2552 0.2567
0.4151 0.0851 0.7447
0.5849 0.9149 0.2553
0.7448 0.7448 0.7433
0.9149 0.5849 0.2553
```

Results
The magnetic moment comes out at 0.00 μB per atom. Its space-group type is No. 12. The calculation puts the calculated volume at 364.9 Å³/f.u. For the density of states at the Fermi level, the calculation gives 3.9 states/eV/f.u. For the uncorrected formation energy, the calculation gives -1491 meV per atom.

Entry 2:
Compound: CaDyTe2
Source: Alexandria via LeMat-Bulk
Functional: PBE
Structure: optimized geometry

```
CaDyTe2
1.0
2.1941 1.2668 7.3344
-2.1941 1.2668 7.3344
0.0000 -2.5336 7.3344
Ca Dy Te
1 1 2
Direct
0.0000 0.0000 0.0000
0.5000 0.5000 0.5000
0.2483 0.2483 0.2483
0.7517 0.7517 0.7517
```

Results
The magnetic moment comes out at 0.00 μB per atom. Its space-group type is No. 166. The calculation puts the calculated volume at 122.3 Å³/f.u. The calculation puts the offset from the most stable computed form at 0 meV per atom. For the density of states at the Fermi level, the calculation gives 1.8 states/eV/f.u. For the uncorrected formation energy, the calculation gives -1452 meV per atom.

Entry 3:
Compound: CaDy2Te
Source: Alexandria via LeMat-Bulk
Functional: PBE
Structure: optimized geometry

```
CaDy2Te
1.0
1.9479 1.1246 10.9462
-1.9479 1.1246 10.9462
0.0000 -2.2493 10.9462
Ca Dy Te
1 2 1
Direct
0.0000 0.0000 0.0000
0.1055 0.1055 0.1055
0.8945 0.8945 0.8945
0.5000 0.5000 0.5000
```

Results
The magnetic moment comes out at 0.00 μB per atom. Its space-group type is No. 166. The calculation puts the calculated volume at 143.9 Å³/f.u. For the density of states at the Fermi level, the calculation gives 4.3 states/eV/f.u. For the uncorrected formation energy, the calculation gives -312 meV per atom.

Entry 4:
Compound: Ca6DyTe8
Source: Alexandria via LeMat-Bulk
Functional: PBE
Structure: optimized geometry

```
Ca6DyTe8
1.0
0.0000 6.3598 6.3598
6.3598 0.0000 6.3598
6.3598 6.3598 0.0000
Ca Dy Te
6 1 8
Direct
0.0000 0.0000 0.5000
0.0000 0.5000 0.0000
0.0000 0.5000 0.5000
0.5000 0.0000 0.0000
0.5000 0.0000 0.5000
0.5000 0.5000 0.0000
0.0000 0.0000 0.0000
0.2442 0.2442 0.7558
0.2442 0.7558 0.2442
0.2442 0.7558 0.7558
0.2500 0.2500 0.2500
0.7500 0.7500 0.7500
0.7558 0.2442 0.2442
0.7558 0.2442 0.7558
0.7558 0.7558 0.2442
```

Results
The magnetic moment comes out at 0.00 μB per atom. Its space-group type is No. 225. The calculation puts the calculated volume at 514.5 Å³/f.u. For the density of states at the Fermi level, the calculation gives 6.4 states/eV/f.u. For the uncorrected formation energy, the calculation gives -1507 meV per atom.

Entry 5:
Compound: CaDyTe2
Source: Alexandria via LeMat-Bulk
Functional: PBE
Structure: optimized geometry

```
CaDyTe2
1.0
2.1541 1.2437 7.7330
-2.1541 1.2437 7.7330
0.0000 -2.4873 7.7330
Ca Dy Te
1 1 2
Direct
0.0000 0.0000 0.0000
0.8277 0.8277 0.8277
0.2428 0.2428 0.2428
0.4164 0.4164 0.4164
```

Results
The magnetic moment comes out at 0.00 μB per atom. Its space-group type is No. 160. The calculation puts the calculated volume at 124.3 Å³/f.u. The calculation puts the offset from the most stable computed form at 56 meV per atom. For the density of states at the Fermi level, the calculation gives 2.6 states/eV/f.u. For the uncorrected formation energy, the calculation gives -1396 meV per atom.

Entry 6:
Compound: CaDy6Te8
Source: Alexandria via LeMat-Bulk
Functional: PBE
Structure: optimized geometry

```
CaDy6Te8
1.0
0.0000 6.1541 6.1541
6.1541 0.0000 6.1541
6.1541 6.1541 0.0000
Ca Dy Te
1 6 8
Direct
0.0000 0.0000 0.0000
0.0000 0.0000 0.5000
0.0000 0.5000 0.0000
0.0000 0.5000 0.5000
0.5000 0.0000 0.0000
0.5000 0.0000 0.5000
0.5000 0.5000 0.0000
0.2500 0.2500 0.2500
0.2572 0.2572 0.7428
0.2572 0.7428 0.2572
0.2572 0.7428 0.7428
0.7428 0.2572 0.2572
0.7428 0.2572 0.7428
0.7428 0.7428 0.2572
0.7500 0.7500 0.7500
```

Results
The magnetic moment comes out at 0.00 μB per atom. Its space-group type is No. 225. The calculation puts the calculated volume at 466.1 Å³/f.u. For the density of states at the Fermi level, the calculation gives 5.1 states/eV/f.u. For the uncorrected formation energy, the calculation gives -1391 meV per atom.

Entry 7:
Compound: CaDy3Te4
Source: Alexandria via LeMat-Bulk
Functional: PBE
Structure: optimized geometry

```
CaDy3Te4
1.0
4.4100 -6.1923 0.0000
4.4100 6.1923 0.0000
0.0000 0.0000 4.3591
Ca Dy Te
1 3 4
Direct
0.0000 0.0000 0.0000
0.0000 0.5000 0.5000
0.5000 0.0000 0.5000
0.5000 0.5000 0.0000
0.2507 0.7493 0.0000
0.2522 0.2522 0.5000
0.7478 0.7478 0.5000
0.7493 0.2507 0.0000
```

Results
The magnetic moment comes out at 0.00 μB per atom. Its space-group type is No. 65. The calculation puts the calculated volume at 238.1 Å³/f.u. For the density of states at the Fermi level, the calculation gives 3.6 states/eV/f.u. For the uncorrected formation energy, the calculation gives -1361 meV per atom.

Entry 8:
Compound: Ca3DyTe4
Source: Alexandria via LeMat-Bulk
Functional: PBE
Structure: optimized geometry

```
Ca3DyTe4
1.0
4.4794 -6.3149 0.0000
4.4794 6.3149 0.0000
0.0000 0.0000 4.4483
Ca Dy Te
3 1 4
Direct
0.0000 0.0000 0.0000
0.0000 0.5000 0.5000
0.5000 0.0000 0.5000
0.5000 0.5000 0.0000
0.2530 0.7470 0.0000
0.2550 0.2550 0.5000
0.7450 0.7450 0.5000
0.7470 0.2530 0.0000
```

Results
The magnetic moment comes out at 0.00 μB per atom. Its space-group type is No. 65. The calculation puts the calculated volume at 251.7 Å³/f.u. For the density of states at the Fermi level, the calculation gives 2.4 states/eV/f.u. For the uncorrected formation energy, the calculation gives -1546 meV per atom.

What is the formula in the eighth record?
Ca3DyTe4

Repeat the seventh record exactly.
Compound: CaDy3Te4
Source: Alexandria via LeMat-Bulk
Functional: PBE
Structure: optimized geometry

```
CaDy3Te4
1.0
4.4100 -6.1923 0.0000
4.4100 6.1923 0.0000
0.0000 0.0000 4.3591
Ca Dy Te
1 3 4
Direct
0.0000 0.0000 0.0000
0.0000 0.5000 0.5000
0.5000 0.0000 0.5000
0.5000 0.5000 0.0000
0.2507 0.7493 0.0000
0.2522 0.2522 0.5000
0.7478 0.7478 0.5000
0.7493 0.2507 0.0000
```

Results
The magnetic moment comes out at 0.00 μB per atom. Its space-group type is No. 65. The calculation puts the calculated volume at 238.1 Å³/f.u. For the density of states at the Fermi level, the calculation gives 3.6 states/eV/f.u. For the uncorrected formation energy, the calculation gives -1361 meV per atom.